(1)
Mg5Ru | PBE-GGA | relaxed

Cell and atoms, written as CIF:
```
data_Mg5Ru
_symmetry_space_group_name_H-M 'P 6/m m m'
_symmetry_Int_Tables_number 191
_symmetry_space_group_name_Hall '-P 6 2'
_cell_length_a 5.4329
_cell_length_b 5.4329
_cell_length_c 4.9839
_cell_angle_alpha 90.00
_cell_angle_beta 90.00
_cell_angle_gamma 120.00
loop_
_atom_site_label
_atom_site_fract_x
_atom_site_fract_y
_atom_site_fract_z
_atom_site_occupancy
Mg1 0.0000 0.5000 0.0000 1
Mg2 0.3333 0.6667 0.5000 1
Ru1 0.0000 0.0000 0.5000 1
```

Calculated values
energy above the lowest structure with this stoichiometry: 0.542 eV/atom
mass density: 2.9 Mg/m³
energy of formation: 0.53 eV/atom
total DFT energy (no corrections): -2.344 eV per atom

(2)
TmAg2Sb2 | PBE-GGA | relaxed

Cell and atoms, written as CIF:
```
data_TmAg2Sb2
_symmetry_space_group_name_H-M 'C m c m'
_symmetry_Int_Tables_number 63
_symmetry_space_group_name_Hall '-C 2c 2'
_cell_length_a 4.3464
_cell_length_b 24.2669
_cell_length_c 4.3457
_cell_angle_alpha 90.00
_cell_angle_beta 90.00
_cell_angle_gamma 90.00
loop_
_atom_site_label
_atom_site_fract_x
_atom_site_fract_y
_atom_site_fract_z
_atom_site_occupancy
Tm1 0.0000 0.1514 0.2500 1
Ag1 0.0000 0.0410 0.7500 1
Ag2 0.0000 0.4594 0.7500 1
Sb1 0.0000 0.2499 0.7500 1
Sb2 0.0000 0.3805 0.2500 1
```

Calculated values
mass density: 9.1 Mg/m³
total DFT energy (no corrections): -4.111 eV per atom

(3)
Pm6NiRu | PBE-GGA | relaxed

Cell and atoms, written as CIF:
```
data_Pm6NiRu
_symmetry_space_group_name_H-M 'C 1 2/m 1'
_symmetry_Int_Tables_number 12
_symmetry_space_group_name_Hall '-C 2y'
_cell_length_a 6.8296
_cell_length_b 11.3201
_cell_length_c 6.8246
_cell_angle_alpha 90.00
_cell_angle_beta 108.74
_cell_angle_gamma 90.00
loop_
_atom_site_label
_atom_site_fract_x
_atom_site_fract_y
_atom_site_fract_z
_atom_site_occupancy
Pm1 0.2470 0.0000 0.2509 1
Pm2 0.2492 0.3284 0.2488 1
Ni1 0.0000 0.0000 0.5000 1
Ru1 0.0000 0.5000 0.0000 1
```

Calculated values
mass density: 6.8 Mg/m³
energy of formation: -0.10 eV/atom
total DFT energy (no corrections): -5.547 eV per atom

(4)
Sr2InSn6 | PBE-GGA | relaxed

Cell and atoms, written as CIF:
```
data_Sr2InSn6
_symmetry_space_group_name_H-M 'I m m m'
_symmetry_Int_Tables_number 71
_symmetry_space_group_name_Hall '-I 2 2'
_cell_length_a 4.7222
_cell_length_b 7.2760
_cell_length_c 16.6968
_cell_angle_alpha 90.00
_cell_angle_beta 90.00
_cell_angle_gamma 90.00
loop_
_atom_site_label
_atom_site_fract_x
_atom_site_fract_y
_atom_site_fract_z
_atom_site_occupancy
Sr1 0.0000 0.0000 0.1166 1
In1 0.0000 0.5000 0.0000 1
Sn1 0.0000 0.2017 0.3042 1
Sn2 0.0000 0.2625 0.5000 1
```

Calculated values
mass density: 5.8 Mg/m³
energy of formation: -0.29 eV/atom
total DFT energy (no corrections): -3.635 eV per atom

(5)
ThTlAgS3 | PBE-GGA | relaxed

Cell and atoms, written as CIF:
```
data_ThTlAgS3
_symmetry_space_group_name_H-M 'C m c m'
_symmetry_Int_Tables_number 63
_symmetry_space_group_name_Hall '-C 2c 2'
_cell_length_a 4.2122
_cell_length_b 14.0763
_cell_length_c 10.8029
_cell_angle_alpha 90.00
_cell_angle_beta 90.00
_cell_angle_gamma 90.00
loop_
_atom_site_label
_atom_site_fract_x
_atom_site_fract_y
_atom_site_fract_z
_atom_site_occupancy
Th1 0.0000 0.0000 0.0000 1
Tl1 0.0000 0.2681 0.2500 1
Ag1 0.0000 0.4478 0.7500 1
S1 0.0000 0.0612 0.7500 1
S2 0.0000 0.3719 0.5404 1
```

Calculated values
mass density: 6.6 Mg/m³
total DFT energy (no corrections): -5.305 eV per atom

(6)
ThPa2SiN5 | PBE-GGA | relaxed

Cell and atoms, written as CIF:
```
data_ThPa2SiN5
_symmetry_space_group_name_H-M 'P 4/m b m'
_symmetry_Int_Tables_number 127
_symmetry_space_group_name_Hall '-P 4 2ab'
_cell_length_a 6.5884
_cell_length_b 6.5884
_cell_length_c 5.5031
_cell_angle_alpha 90.00
_cell_angle_beta 90.00
_cell_angle_gamma 90.00
loop_
_atom_site_label
_atom_site_fract_x
_atom_site_fract_y
_atom_site_fract_z
_atom_site_occupancy
Th1 0.0000 0.0000 0.0000 1
Pa1 0.1726 0.3274 0.5000 1
Si1 0.0000 0.5000 0.0000 1
N1 0.0000 0.0000 0.5000 1
N2 0.1425 0.6425 0.2361 1
```

Calculated values
mass density: 11.0 Mg/m³
total DFT energy (no corrections): -9.452 eV per atom

(7)
TcRu | PBE-GGA | relaxed

Cell and atoms, written as CIF:
```
data_TcRu
_symmetry_space_group_name_H-M 'C 1 2/m 1'
_symmetry_Int_Tables_number 12
_symmetry_space_group_name_Hall '-C 2y'
_cell_length_a 9.9019
_cell_length_b 2.7396
_cell_length_c 4.7746
_cell_angle_alpha 90.00
_cell_angle_beta 118.78
_cell_angle_gamma 90.00
loop_
_atom_site_label
_atom_site_fract_x
_atom_site_fract_y
_atom_site_fract_z
_atom_site_occupancy
Tc1 0.1242 0.0000 0.4610 1
Ru1 0.1249 0.5000 0.9591 1
```

Calculated values
energy above the lowest structure with this stoichiometry: 0.010 eV/atom
mass density: 11.6 Mg/m³
energy of formation: -0.06 eV/atom
total DFT energy (no corrections): -9.877 eV per atom

(8)
Ho4Tm3Th2 | PBE-GGA | relaxed

Cell and atoms, written as CIF:
```
data_Ho4Tm3Th2
_symmetry_space_group_name_H-M 'C 1 2/m 1'
_symmetry_Int_Tables_number 12
_symmetry_space_group_name_Hall '-C 2y'
_cell_length_a 14.9673
_cell_length_b 5.0023
_cell_length_c 7.8876
_cell_angle_alpha 90.00
_cell_angle_beta 108.50
_cell_angle_gamma 90.00
loop_
_atom_site_label
_atom_site_fract_x
_atom_site_fract_y
_atom_site_fract_z
_atom_site_occupancy
Ho1 0.0549 0.0000 0.3334 1
Ho2 0.2223 0.5000 0.3287 1
Tm1 0.0000 0.5000 0.0000 1
Tm2 0.1120 0.5000 0.6744 1
Th1 0.1675 0.0000 0.0009 1
```

Calculated values
energy above the lowest structure with this stoichiometry: 0.000 eV/atom
mass density: 9.7 Mg/m³
energy of formation: 0.03 eV/atom
total DFT energy (no corrections): -5.145 eV per atom